VASP calculation (GGA-PBE) on CrSbAu2 after structural relaxation.

The structure belongs to space group I4/mmm (No. 139); the cell edges are 4.157, 4.157 and 8.822 Å and the angles 90.00°, 90.00° and 90.00°. The distinct sites, in fractional coordinates, are Cr at (0.000, 0.000, 0.000), Sb at (0.000, 0.000, 0.500) and Au at (0.000, 0.500, 0.250).

The calculation puts the uncorrected formation energy at 0.106 eV/atom.